Entry 1:
! TmAg2SbSe4, optimized geometry, DFT PBE; values from VASP
&SYSTEM
  ibrav = 0, nat = 8, ntyp = 4
/
ATOMIC_SPECIES
Tm 168.93 Tm.upf
Ag 107.87 Ag.upf
Sb 121.76 Sb.upf
Se 78.96 Se.upf
CELL_PARAMETERS angstrom
4.127 0.000 0.000
0.000 6.944 -0.055
0.000 2.530 6.715
ATOMIC_POSITIONS angstrom
Tm 0.000 4.737 3.330
Ag 0.000 2.530 6.715
Ag 2.064 1.265 3.357
Sb 2.064 3.472 -0.028
Se 0.000 7.098 4.965
Se 4.127 2.375 1.695
Se 2.064 5.809 1.667
Se 2.064 3.665 4.992
! Theoretical density ... 7074 kg/m3
! Formation energy without anion corrections ... -0.663 eV/atom

---

Entry 2:
! CdSb2Te2, optimized geometry, DFT PBE; values from VASP
&SYSTEM
  ibrav = 0, nat = 5, ntyp = 3
/
ATOMIC_SPECIES
Sb 121.76 Sb.upf
Te 127.60 Te.upf
Cd 112.41 Cd.upf
CELL_PARAMETERS angstrom
4.251 0.000 0.000
0.000 4.251 0.000
2.126 2.126 8.533
ATOMIC_POSITIONS angstrom
Sb 4.251 2.126 4.266
Sb 2.126 4.251 4.266
Te 2.126 2.126 1.544
Te 4.251 4.251 6.988
Cd 0.000 0.000 0.000
! Theoretical density ... 6580 kg/m3
! Formation energy without anion corrections ... 0.199 eV/atom
! ΔE to the lowest computed polymorph ... 141.5 meV/atom

---

Entry 3:
! VCuPd2Pt2, optimized geometry, DFT PBE; values from VASP
&SYSTEM
  ibrav = 0, nat = 12, ntyp = 4
/
ATOMIC_SPECIES
V 50.94 V.upf
Cu 63.55 Cu.upf
Pd 106.42 Pd.upf
Pt 195.08 Pt.upf
CELL_PARAMETERS angstrom
-5.234 1.250 0.075
-0.220 -1.314 6.544
1.171 4.879 0.387
ATOMIC_POSITIONS angstrom
V -3.138 4.156 1.359
V -1.145 0.659 5.646
Cu -0.294 4.349 3.566
Cu -3.989 0.467 3.440
Pd -2.463 1.181 1.318
Pd 0.149 0.557 1.280
Pd -4.432 4.259 5.725
Pd -1.820 3.635 5.688
Pt -0.570 3.338 1.149
Pt -0.882 1.881 3.600
Pt -3.713 1.478 5.857
Pt -3.401 2.935 3.405
! Theoretical density ... 13275 kg/m3
! ΔE_f ... -179 meV per atom

---

Entry 4:
! KHg4Rh, optimized geometry, DFT PBE; values from VASP
&SYSTEM
  ibrav = 0, nat = 6, ntyp = 3
/
ATOMIC_SPECIES
K 39.10 K.upf
Hg 200.59 Hg.upf
Rh 102.91 Rh.upf
CELL_PARAMETERS angstrom
-0.868 -1.576 5.647
-5.416 -1.544 1.847
-1.170 -5.650 1.353
ATOMIC_POSITIONS angstrom
K -5.590 -6.578 6.635
Hg -3.226 -4.075 6.152
Hg -3.378 -6.125 3.991
Hg -5.515 -4.059 4.240
Hg -2.789 -3.282 3.310
Rh 0.000 0.000 0.000
! Theoretical density ... 10653 kg/m3
! ΔE_f ... 274 meV per atom

---

Across the entries above, total DFT energy (no corrections) takes the values -33.54; -14.45; -73.51; -8.01 eV/cell, respectively.
Across the entries above, total magnetization takes the values 0.0; 0.0; 0.0; 0.0 μB per formula unit, respectively.